1.
# NiRhSeBr2 | Alexandria via LeMat-Bulk | SCAN | PBEsol geometry
# total energy = -21.179 eV per atom
# ΔE_f (raw) = 58.83 kJ/mol of atoms
data_NiRhSeBr2
_symmetry_space_group_name_H-M 'P 4/m m m'
_symmetry_Int_Tables_number 123
_symmetry_space_group_name_Hall '-P 4 2'
_cell_length_a 5.054
_cell_length_b 5.054
_cell_length_c 4.615
_cell_angle_alpha 90.00
_cell_angle_beta 90.00
_cell_angle_gamma 90.00
loop_
_atom_site_label
_atom_site_type_symbol
_atom_site_fract_x
_atom_site_fract_y
_atom_site_fract_z
Ni1 Ni 0.000 0.000 0.000
Rh1 Rh 0.500 0.500 0.500
Se1 Se 0.500 0.500 0.000
Br1 Br 0.000 0.500 0.500

***

2.
# CoSn2Te2 | Alexandria via LeMat-Bulk | SCAN | PBEsol geometry
# total energy = -32.086 eV per atom
# ΔE_f (raw) = 62.14 kJ/mol of atoms
data_CoSn2Te2
_symmetry_space_group_name_H-M 'I 4/m m m'
_symmetry_Int_Tables_number 139
_symmetry_space_group_name_Hall '-I 4 2'
_cell_length_a 4.015
_cell_length_b 4.015
_cell_length_c 17.207
_cell_angle_alpha 90.00
_cell_angle_beta 90.00
_cell_angle_gamma 90.00
loop_
_atom_site_label
_atom_site_type_symbol
_atom_site_fract_x
_atom_site_fract_y
_atom_site_fract_z
Co1 Co 0.000 0.000 0.000
Sn1 Sn 0.000 0.000 0.417
Te1 Te 0.000 0.500 0.250

***

3.
# Ba2LiAlC4N8 | Alexandria via LeMat-Bulk | SCAN | PBEsol geometry
# total energy = -13.587 eV per atom
# ΔE_f (raw) = -80.97 kJ/mol of atoms
data_Ba2LiAlC4N8
_symmetry_space_group_name_H-M 'P 21 21 21'
_symmetry_Int_Tables_number 19
_symmetry_space_group_name_Hall 'P 2ac 2ab'
_cell_length_a 6.869
_cell_length_b 11.747
_cell_length_c 11.821
_cell_angle_alpha 90.00
_cell_angle_beta 90.00
_cell_angle_gamma 90.00
loop_
_atom_site_label
_atom_site_type_symbol
_atom_site_fract_x
_atom_site_fract_y
_atom_site_fract_z
Ba1 Ba 0.207 0.122 0.087
Ba2 Ba 0.216 0.621 0.906
Li1 Li 0.033 0.873 0.331
Al1 Al 0.025 0.378 0.666
C1 C 0.157 0.076 0.390
C2 C 0.159 0.582 0.622
C3 C 0.221 0.329 0.859
C4 C 0.234 0.821 0.135
N1 N 0.056 0.010 0.443
N2 N 0.071 0.502 0.573
N3 N 0.107 0.399 0.815
N4 N 0.119 0.895 0.163
N5 N 0.145 0.252 0.603
N6 N 0.166 0.737 0.403
N7 N 0.241 0.856 0.834
N8 N 0.242 0.659 0.671

***

4.
# MgInPb2 | Alexandria via LeMat-Bulk | SCAN | PBEsol geometry
# total energy = -47.509 eV per atom
# formation energy from the elements = -0.1 eV per formula unit
data_MgInPb2
_symmetry_space_group_name_H-M 'R -3 m'
_symmetry_Int_Tables_number 166
_symmetry_space_group_name_Hall '-R 3 2"'
_cell_length_a 3.4193
_cell_length_b 3.4193
_cell_length_c 32.0061
_cell_angle_alpha 90.00
_cell_angle_beta 90.00
_cell_angle_gamma 120.00
loop_
_atom_site_label
_atom_site_type_symbol
_atom_site_fract_x
_atom_site_fract_y
_atom_site_fract_z
Mg1 Mg 0.0000 0.0000 0.0000
In1 In 0.0000 0.0000 0.5000
Pb1 Pb 0.0000 0.0000 0.2537

***

5.
# TaSbPb2 | Alexandria via LeMat-Bulk | SCAN | PBEsol geometry
# total energy = -63.130 eV per atom
# ΔE_f (raw) = 69.64 kJ/mol of atoms
data_TaSbPb2
_symmetry_space_group_name_H-M 'F -4 3 m'
_symmetry_Int_Tables_number 216
_symmetry_space_group_name_Hall 'F -4 2 3'
_cell_length_a 7.295
_cell_length_b 7.295
_cell_length_c 7.295
_cell_angle_alpha 90.00
_cell_angle_beta 90.00
_cell_angle_gamma 90.00
loop_
_atom_site_label
_atom_site_type_symbol
_atom_site_fract_x
_atom_site_fract_y
_atom_site_fract_z
Ta1 Ta 0.000 0.000 0.000
Sb1 Sb 0.250 0.250 0.250
Pb1 Pb 0.000 0.000 0.500
Pb2 Pb 0.250 0.250 0.750

***

6.
# Cd3GaP | Alexandria via LeMat-Bulk | SCAN | PBEsol geometry
# total energy = -22.944 eV per atom
# formation energy from the elements = 3.3 eV per formula unit
data_Cd3GaP
_symmetry_space_group_name_H-M 'P m -3 m'
_symmetry_Int_Tables_number 221
_symmetry_space_group_name_Hall '-P 4 2 3'
_cell_length_a 4.975
_cell_length_b 4.975
_cell_length_c 4.975
_cell_angle_alpha 90.00
_cell_angle_beta 90.00
_cell_angle_gamma 90.00
loop_
_atom_site_label
_atom_site_type_symbol
_atom_site_fract_x
_atom_site_fract_y
_atom_site_fract_z
Cd1 Cd 0.000 0.000 0.500
Ga1 Ga 0.000 0.000 0.000
P1 P 0.500 0.500 0.500

***

7.
# Ti2Al2Ir | Alexandria via LeMat-Bulk | SCAN | PBEsol geometry
# total energy = -24.336 eV per atom
# formation energy from the elements = -3.0 eV per formula unit
data_Ti2Al2Ir
_symmetry_space_group_name_H-M 'P 4/m b m'
_symmetry_Int_Tables_number 127
_symmetry_space_group_name_Hall '-P 4 2ab'
_cell_length_a 6.412
_cell_length_b 6.412
_cell_length_c 3.751
_cell_angle_alpha 90.00
_cell_angle_beta 90.00
_cell_angle_gamma 90.00
loop_
_atom_site_label
_atom_site_type_symbol
_atom_site_fract_x
_atom_site_fract_y
_atom_site_fract_z
Ti1 Ti 0.165 0.335 0.000
Al1 Al 0.138 0.638 0.500
Ir1 Ir 0.000 0.000 0.500

***

8.
# LiHf3Ti | Alexandria via LeMat-Bulk | SCAN | PBEsol geometry
# total energy = -40.312 eV per atom
# formation energy from the elements = 4.9 eV per formula unit
data_LiHf3Ti
_symmetry_space_group_name_H-M 'P m -3 m'
_symmetry_Int_Tables_number 221
_symmetry_space_group_name_Hall '-P 4 2 3'
_cell_length_a 4.912
_cell_length_b 4.912
_cell_length_c 4.912
_cell_angle_alpha 90.00
_cell_angle_beta 90.00
_cell_angle_gamma 90.00
loop_
_atom_site_label
_atom_site_type_symbol
_atom_site_fract_x
_atom_site_fract_y
_atom_site_fract_z
Li1 Li 0.000 0.000 0.000
Hf1 Hf 0.000 0.500 0.500
Ti1 Ti 0.500 0.500 0.500

***

9.
# Cr2BSe | Alexandria via LeMat-Bulk | SCAN | PBEsol geometry
# total energy = -15.871 eV per atom
# ΔE_f (raw) = 19.12 kJ/mol of atoms
data_Cr2BSe
_symmetry_space_group_name_H-M 'I -4 2 d'
_symmetry_Int_Tables_number 122
_symmetry_space_group_name_Hall 'I -4 2bw'
_cell_length_a 5.032
_cell_length_b 5.032
_cell_length_c 9.807
_cell_angle_alpha 90.00
_cell_angle_beta 90.00
_cell_angle_gamma 90.00
loop_
_atom_site_label
_atom_site_type_symbol
_atom_site_fract_x
_atom_site_fract_y
_atom_site_fract_z
Cr1 Cr 0.183 0.250 0.125
B1 B 0.000 0.000 0.000
Se1 Se 0.000 0.000 0.500

***

10.
# CoTcBi3 | Alexandria via LeMat-Bulk | SCAN | PBEsol geometry
# total energy = -56.549 eV per atom
# formation energy from the elements = 5.4 eV per formula unit
data_CoTcBi3
_symmetry_space_group_name_H-M 'P m -3 m'
_symmetry_Int_Tables_number 221
_symmetry_space_group_name_Hall '-P 4 2 3'
_cell_length_a 4.963
_cell_length_b 4.963
_cell_length_c 4.963
_cell_angle_alpha 90.00
_cell_angle_beta 90.00
_cell_angle_gamma 90.00
loop_
_atom_site_label
_atom_site_type_symbol
_atom_site_fract_x
_atom_site_fract_y
_atom_site_fract_z
Co1 Co 0.000 0.000 0.000
Tc1 Tc 0.500 0.500 0.500
Bi1 Bi 0.000 0.000 0.500

***

11.
# SrLiBi2Sb | Alexandria via LeMat-Bulk | SCAN | PBEsol geometry
# total energy = -43.982 eV per atom
# ΔE_f (raw) = -15.92 kJ/mol of atoms
data_SrLiBi2Sb
_symmetry_space_group_name_H-M 'P 4/m m m'
_symmetry_Int_Tables_number 123
_symmetry_space_group_name_Hall '-P 4 2'
_cell_length_a 5.966
_cell_length_b 5.966
_cell_length_c 4.907
_cell_angle_alpha 90.00
_cell_angle_beta 90.00
_cell_angle_gamma 90.00
loop_
_atom_site_label
_atom_site_type_symbol
_atom_site_fract_x
_atom_site_fract_y
_atom_site_fract_z
Sr1 Sr 0.000 0.000 0.000
Li1 Li 0.500 0.500 0.000
Bi1 Bi 0.000 0.500 0.500
Sb1 Sb 0.500 0.500 0.500

***

12.
# LiSiTe2 | Alexandria via LeMat-Bulk | SCAN | PBEsol geometry
# total energy = -21.840 eV per atom
# energy relative to the lowest polymorph listed for this composition = 0.180 eV per atom
# ΔE_f (raw) = -10.91 kJ/mol of atoms
data_LiSiTe2
_symmetry_space_group_name_H-M 'C 1 2/m 1'
_symmetry_Int_Tables_number 12
_symmetry_space_group_name_Hall '-C 2y'
_cell_length_a 7.977
_cell_length_b 7.977
_cell_length_c 3.041
_cell_angle_alpha 90.00
_cell_angle_beta 97.08
_cell_angle_gamma 90.00
loop_
_atom_site_label
_atom_site_type_symbol
_atom_site_fract_x
_atom_site_fract_y
_atom_site_fract_z
Li1 Li 0.000 0.000 0.000
Si1 Si 0.000 0.500 0.000
Te1 Te 0.250 0.250 0.000